An optimized crystal structure of AlTlO2, computed with PBE.

It has space group P3m1 (No. 156), with a = 3.1728 Å, b = 3.1728 Å, c = 7.7201 Å, α = 90.00°, β = 90.00° and γ = 120.00°. The inequivalent atoms are Al at (0.0000, 0.0000, 0.0000), Tl at (0.6667, 0.3333, 0.4288), O at (0.0000, 0.0000, 0.2217) and O at (0.3333, 0.6667, 0.9317).

The relative energy among the computed polymorphs comes out at 305 meV/atom. The formation energy without anion corrections is -1.8245 eV per atom. The total magnetization comes out at 0.0 μB/cell. The total energy is -5.83 eV/atom.



An optimized crystal structure of Cs3LiCa2Cl9, computed with PBE.

It has space group P-3m1 (No. 164), with a = 7.5961 Å, b = 7.5961 Å, c = 9.3376 Å, α = 90.00°, β = 90.00° and γ = 120.00°. The inequivalent atoms are Cs at (0.0000, 0.0000, 0.0000), Cs at (0.3333, 0.6667, 0.6628), Li at (0.0000, 0.0000, 0.5000), Ca at (0.3333, 0.6667, 0.1752), Cl at (0.0000, 0.5000, 0.0000) and Cl at (0.1626, 0.3252, 0.3393).

The formation energy without anion corrections is -1.9711 eV per atom. The total magnetization comes out at 0.8 μB/cell. The total energy is -3.64 eV/atom.



An optimized crystal structure of Cs7SbAu2Br2, computed with PBE.

It has space group Imm2 (No. 44), with a = 6.6402 Å, b = 30.0736 Å, c = 7.0478 Å, α = 90.00°, β = 90.00° and γ = 90.00°. The inequivalent atoms are Cs at (0.0000, 0.0000, 0.0000), Cs at (0.0000, 0.0928, 0.3935), Cs at (0.0000, 0.2359, 0.8924), Cs at (0.0000, 0.4246, 0.3288), Sb at (0.0000, 0.5000, 0.8231), Au at (0.0000, 0.1164, 0.8895) and Br at (0.0000, 0.2167, 0.3927).

The formation energy without anion corrections is -0.7725 eV per atom. The total magnetization comes out at 0.0 μB/cell. The total energy is -2.44 eV/atom.



An optimized crystal structure of BaLiPdPb2, computed with PBE.

It has space group I-4m2 (No. 119), with a = 4.9213 Å, b = 4.9213 Å, c = 11.4926 Å, α = 90.00°, β = 90.00° and γ = 90.00°. The inequivalent atoms are Ba at (0.0000, 0.0000, 0.0000), Li at (0.0000, 0.5000, 0.7500), Pd at (0.0000, 0.5000, 0.2500) and Pb at (0.0000, 0.0000, 0.3650).

The relative energy among the computed polymorphs comes out at 0 meV/atom. The total magnetization comes out at 0.0 μB/cell. The calculation puts the calculated formation energy at -0.436 eV/atom. The total energy is -3.73 eV/atom.